## 1
VASP calculation (PBE) on an optimized crystal structure of NpTi2Ge.

Density: 9.5 g/cm³

The structure in POSCAR format:
```
NpTi2Ge
1.0
0.000 3.284 3.284
3.284 0.000 3.284
3.284 3.284 0.000
Np Ti Ge
1 2 1
direct
0.000 0.000 0.000
0.250 0.250 0.250
0.750 0.750 0.750
0.500 0.500 0.500
```

***

## 2
VASP calculation (PBE) on an optimized crystal structure of NpTi2Ge.

Density: 9.7 g/cm³

The structure in POSCAR format:
```
NpTi2Ge
1.0
4.337 0.000 0.000
0.000 4.337 0.000
0.000 0.000 3.705
Np Ti Ge
1 2 1
direct
0.000 0.000 0.000
0.000 0.500 0.500
0.500 0.000 0.500
0.500 0.500 0.000
```

***

## 3
VASP calculation (PBE) on an optimized crystal structure of NpTi2Ge.

Density: 9.4 g/cm³

The structure in POSCAR format:
```
NpTi2Ge
1.0
1.468 0.848 9.582
-1.468 0.848 9.582
0.000 -1.695 9.582
Np Ti Ge
1 2 1
direct
0.000 0.000 0.000
0.243 0.243 0.243
0.757 0.757 0.757
0.500 0.500 0.500
```

***

Energies relative to the minimum, kJ/mol of atoms: 1 14.5; 2 0.0; 3 21.7

***

## 1
VASP calculation (PBE) on an optimized crystal structure of NpTiGe2.

Density: 9.8 g/cm³

The structure in POSCAR format:
```
NpTiGe2
1.0
1.484 0.857 9.545
-1.484 0.857 9.545
0.000 -1.714 9.545
Np Ti Ge
1 1 2
direct
0.000 0.000 0.000
0.500 0.500 0.500
0.242 0.242 0.242
0.758 0.758 0.758
```

***

## 2
VASP calculation (PBE) on an optimized crystal structure of NpTiGe2.

Density: 9.5 g/cm³

The structure in POSCAR format:
```
NpTiGe2
1.0
3.472 0.000 0.000
0.000 3.472 0.000
0.000 0.000 6.213
Np Ti Ge
1 1 2
direct
0.000 0.000 0.000
0.000 0.000 0.500
0.500 0.500 0.293
0.500 0.500 0.707
```

***

Energies relative to the minimum, kJ/mol of atoms: 1 12.5; 2 0.0

***

## 1
VASP calculation (PBE) on an optimized crystal structure of NpU2Ge.

Density: 16.3 g/cm³

The structure in POSCAR format:
```
NpU2Ge
1.0
5.198 0.000 0.000
0.000 6.349 0.000
-3.626 0.000 9.706
Np U Ge
4 8 4
direct
0.181 0.133 0.122
0.181 0.867 0.622
0.819 0.133 0.378
0.819 0.867 0.878
0.115 0.348 0.581
0.115 0.652 0.081
0.378 0.334 0.367
0.378 0.666 0.867
0.622 0.334 0.133
0.622 0.666 0.633
0.885 0.348 0.919
0.885 0.652 0.419
0.330 0.139 0.861
0.330 0.861 0.361
0.670 0.139 0.639
0.670 0.861 0.139
```

***

## 2
VASP calculation (PBE) on an optimized crystal structure of NpU2Ge.

Density: 16.5 g/cm³

The structure in POSCAR format:
```
NpU2Ge
1.0
4.326 0.000 0.000
0.000 4.326 0.000
0.000 0.000 4.213
Np U Ge
1 2 1
direct
0.000 0.000 0.000
0.000 0.500 0.500
0.500 0.000 0.500
0.500 0.500 0.000
```

***

Energies relative to the minimum, kJ/mol of atoms: 1 4.7; 2 0.0

***

## 1
VASP calculation (PBE) on an optimized crystal structure of NpUGe.

Density: 15.6 g/cm³

The structure in POSCAR format:
```
NpUGe
1.0
2.274 -4.734 0.000
2.274 4.734 0.000
0.000 0.000 5.427
Np U Ge
2 2 2
direct
0.094 0.906 0.500
0.906 0.094 0.000
0.275 0.725 0.137
0.725 0.275 0.637
0.413 0.587 0.644
0.587 0.413 0.144
```

***

## 2
VASP calculation (PBE) on an optimized crystal structure of NpUGe.

Density: 16.1 g/cm³

The structure in POSCAR format:
```
NpUGe
1.0
4.708 0.000 0.000
-2.354 4.077 0.000
0.000 0.000 2.940
Np U Ge
1 1 1
direct
0.000 0.000 0.000
0.667 0.333 0.000
0.333 0.667 0.500
```

***

Energies relative to the minimum, kJ/mol of atoms: 1 0.0; 2 12.9